Below is a geometry-optimized HgTe3 structure, with properties calculated at the PBE level.

The value obtained for the calculated total energy is -2.28 eV per atom.

Lattice parameters (Å, degrees): 8.655 8.655 3.047 90.00 90.00 139.93
Each line ends with the local moment (μB).
Positions (direct):
Hg  0.000  0.000  0.000  0.00
Te  0.000  0.500  0.500  0.00
Te  0.500  0.000  0.500  0.00
Te  0.500  0.500  0.000  0.17

***

Below is a geometry-optimized ThZn3AgAu structure, with properties calculated at the PBE level.

As for the formation energy: -183 meV/atom.

Lattice parameters (Å, degrees): 5.137 5.649 8.912 108.48 90.00 90.00
Positions (direct):
Th  0.750  0.337  0.673
Th  0.250  0.663  0.327
Zn  0.250  0.093  0.186
Zn  0.000  0.273  0.000
Zn  0.500  0.727  0.000
Zn  0.500  0.273  0.000
Zn  0.000  0.727  0.000
Zn  0.750  0.907  0.814
Ag  0.250  0.859  0.718
Ag  0.750  0.141  0.282
Au  0.250  0.249  0.497
Au  0.750  0.751  0.503

***

Below is a geometry-optimized Li2CoIr structure, with properties calculated at the PBE level.

The calculation puts the energy above the most stable polymorph in this dataset at 11.1 kJ/mol of atoms. As for the formation energy: 50 meV/atom.

Lattice parameters (Å, degrees): 4.190 3.501 3.501 90.00 90.00 90.00
Each line ends with the local moment (μB).
Positions (direct):
Co  0.500  0.500  0.000  1.73
Ir  0.500  0.000  0.500  0.59
Li  0.000  0.000  0.000  -0.03
Li  0.000  0.500  0.500  -0.03

***

Below is a geometry-optimized Rh3AuS structure, with properties calculated at the PBE level.

The calculation puts the energy above the most stable polymorph in this dataset at 161.6 kJ/mol of atoms.

Lattice parameters (Å, degrees): 4.894 4.894 4.894 90.00 90.00 90.00
Each line ends with the local moment (μB).
Positions (direct):
Rh  0.000  0.500  0.000  1.20
Rh  0.000  0.000  0.500  1.38
Rh  0.500  0.000  0.000  0.80
S  0.500  0.500  0.500  0.29
Au  0.000  0.000  0.000  0.23